SnHg3B | GGA-PBE | optimized geometry

Results
E above lowest polymorph	0.627	eV/atom
total moment	0.216	μB/atom
ΔH_f (0 K)	1241.9	meV/atom

a b c (Å): 5.6873 5.6873 5.6873
angles (deg): 90.00 90.00 90.00
Closest atoms and distances in Å follow each position.
Space group Pm-3m (No. 221)
One atom of each set of equivalent atoms:
1 Sn 0.0000 0.0000 0.0000 [1 per cell]  6 Hg 2.84
2 Hg 0.0000 0.0000 0.5000 [3 per cell]  2 Sn 2.84
3 B 0.5000 0.5000 0.5000 [1 per cell]  12 Hg 4.02